{"formula": "CaSm2Er", "functional": "GGA-PBE", "state": "optimized geometry", "lattice": [[0.0000, 4.0933, 4.0933], [4.0933, 0.0000, 4.0933], [4.0933, 4.0933, 0.0000]], "species": ["Ca", "Sm", "Sm", "Er"], "fractional_positions": [[0.0000, 0.0000, 0.0000], [0.2500, 0.2500, 0.2500], [0.7500, 0.7500, 0.7500], [0.5000, 0.5000, 0.5000]], "delta_e_f_ev_per_fu": 0.54}


{"formula": "AcICl", "functional": "GGA-PBE", "state": "optimized geometry", "lattice": [[0.0000, 3.8268, 3.8268], [3.8268, 0.0000, 3.8268], [3.8268, 3.8268, 0.0000]], "species": ["Ac", "I", "Cl"], "fractional_positions": [[0.0000, 0.0000, 0.0000], [0.7500, 0.7500, 0.7500], [0.2500, 0.2500, 0.2500]], "raw_formation_energy_kj_per_mol_fu": -417}


{"formula": "Li2BPd2", "functional": "GGA-PBE", "state": "optimized geometry", "lattice": [[5.6133, 0.0000, 0.0000], [0.0000, 5.6133, 0.0000], [0.0000, 0.0000, 4.3701]], "species": ["Li", "Li", "Li", "Li", "B", "B", "Pd", "Pd", "Pd", "Pd"], "fractional_positions": [[0.1650, 0.3350, 0.0000], [0.3350, 0.8350, 0.0000], [0.6650, 0.1650, 0.0000], [0.8350, 0.6650, 0.0000], [0.0000, 0.0000, 0.5000], [0.5000, 0.5000, 0.5000], [0.1672, 0.6672, 0.5000], [0.3328, 0.1672, 0.5000], [0.6672, 0.8328, 0.5000], [0.8328, 0.3328, 0.5000]], "delta_e_f_ev_per_fu": -1.90}


{"formula": "ThIn9Rh2", "functional": "GGA-PBE", "state": "optimized geometry", "lattice": [[-6.1786, 6.1786, 3.6229], [6.1786, -6.1786, 3.6229], [6.1786, 6.1786, -3.6229]], "species": ["Th", "Th", "In", "In", "In", "In", "In", "In", "In", "In", "In", "In", "In", "In", "In", "In", "In", "In", "In", "In", "Rh", "Rh", "Rh", "Rh"], "fractional_positions": [[0.3750, 0.6250, 0.7500], [0.6250, 0.3750, 0.2500], [0.1057, 0.5521, 0.3143], [0.1057, 0.7915, 0.5536], [0.1250, 0.8750, 0.2500], [0.2085, 0.2622, 0.3143], [0.2085, 0.8943, 0.9464], [0.2622, 0.2085, 0.8143], [0.2622, 0.4479, 0.0536], [0.4479, 0.2622, 0.5536], [0.4479, 0.8943, 0.1857], [0.5521, 0.1057, 0.8143], [0.5521, 0.7378, 0.4464], [0.7378, 0.5521, 0.9464], [0.7378, 0.7915, 0.1857], [0.7915, 0.1057, 0.0536], [0.7915, 0.7378, 0.6857], [0.8750, 0.1250, 0.7500], [0.8943, 0.2085, 0.4464], [0.8943, 0.4479, 0.6857], [0.0000, 0.0000, 0.0000], [0.0000, 0.0000, 0.5000], [0.0000, 0.5000, 0.0000], [0.5000, 0.0000, 0.5000]], "delta_e_f_ev_per_fu": -1.19}